[1]
Crystalline Ba3LiLa at its relaxed geometry. Source: Alexandria via LeMat-Bulk, functional PBE.

Computed properties:
As for the density of states at the Fermi level: 9.91 states/eV per cell. The space group is Pm-3m. The value obtained for the magnetic moment is 1.2 μB per formula unit. As for the energy above the lowest structure with this stoichiometry: 0 meV per atom.

Structure (POSCAR):
```
Ba3LiLa
1.0
6.235 0.000 0.000
0.000 6.235 0.000
0.000 0.000 6.235
Ba Li La
3 1 1
direct
0.000 0.000 0.500
0.000 0.500 0.000
0.500 0.000 0.000
0.000 0.000 0.000
0.500 0.500 0.500
```

---

[2]
Crystalline Na2CeUCl8 at its relaxed geometry. Source: Alexandria via LeMat-Bulk, functional PBE.

Computed properties:
The calculation puts the energy at -4.77 eV per atom. As for the density of states at the Fermi level: 13.58 states/eV per cell. The space group is P2/m. The value obtained for the magnetic moment is 4.0 μB per formula unit.

Structure (POSCAR):
```
Na2CeUCl8
1.0
6.543 0.000 0.000
0.000 8.570 0.000
-0.349 0.000 6.637
Na Ce U Cl
2 1 1 8
direct
0.000 0.249 0.000
0.000 0.751 0.000
0.500 0.000 0.500
0.500 0.500 0.500
0.216 0.000 0.185
0.219 0.500 0.188
0.295 0.255 0.673
0.295 0.745 0.673
0.705 0.255 0.327
0.705 0.745 0.327
0.781 0.500 0.812
0.784 0.000 0.815
```

---

[3]
Crystalline Zn2ReRu at its relaxed geometry. Source: Alexandria via LeMat-Bulk, functional PBE.

Computed properties:
As for the density of states at the Fermi level: 3.06 states/eV per cell. The space group is C2/m. The value obtained for the magnetic moment is 0.0 μB per formula unit. As for the energy above the lowest structure with this stoichiometry: 206 meV per atom.

Structure (POSCAR):
```
Zn2ReRu
1.0
4.492 -1.403 0.000
4.492 1.403 0.000
-0.982 0.000 4.548
Zn Re Ru
2 1 1
direct
0.248 0.248 0.246
0.752 0.752 0.754
0.000 0.000 0.500
0.500 0.500 0.000
```

---

[4]
Crystalline InRhSe2 at its relaxed geometry. Source: Alexandria via LeMat-Bulk, functional PBE.

Computed properties:
The calculation puts the energy at -3.99 eV per atom. As for the density of states at the Fermi level: 2.97 states/eV per cell. The space group is P4/mmm. The value obtained for the magnetic moment is 0.0 μB per formula unit.

Structure (POSCAR):
```
InRhSe2
1.0
4.062 0.000 0.000
0.000 4.062 0.000
0.000 0.000 4.741
In Rh Se
1 1 2
direct
0.000 0.000 0.000
0.500 0.500 0.000
0.000 0.500 0.500
0.500 0.000 0.500
```